[1]
Entry from the Alexandria database: an optimized crystal structure of CaWSN2 (PBE).

Cell and atoms, written as POSCAR:
```
CaWSN2
1.0
-3.2396 2.2491 0.4197
-0.7081 -0.2939 -3.8913
-2.7093 -4.0515 0.7990
S W N Ca
1 1 2 1
direct
0.0000 0.0000 0.5000
0.0000 0.0000 0.0000
0.0000 0.5000 0.0000
0.5000 0.0000 0.0000
0.5000 0.5000 0.5000
```

Summary:
Theoretical density (g cm⁻³): 6.070
Energy above the most stable polymorph in this dataset (eV/atom): 0.000
ΔE_f (raw) (meV per atom): -623
Final energy (eV per cell): -38.85
Calculated volume (Å³ per cell): 77.7

***

[2]
Entry from the Alexandria database: an optimized crystal structure of CaZrSN2 (PBE).

Cell and atoms, written as POSCAR:
```
CaZrSN2
1.0
4.1769 0.0000 0.0000
0.0000 4.1769 0.0000
0.0000 0.0000 5.2810
S Zr Ca N
1 1 1 2
direct
0.0000 0.0000 0.5000
0.0000 0.0000 0.0000
0.5000 0.5000 0.5000
0.5000 0.0000 0.0000
0.0000 0.5000 0.0000
```

Summary:
Theoretical density (g cm⁻³): 3.449
Energy above the most stable polymorph in this dataset (eV/atom): 0.000
ΔE_f (raw) (meV per atom): -631
Final energy (eV per cell): -34.48
Calculated volume (Å³ per cell): 92.1

***

[3]
Entry from the Alexandria database: an optimized crystal structure of CaZrSN2 (PBE).

Cell and atoms, written as POSCAR:
```
CaZrSN2
1.0
-0.1523 3.9677 -1.0802
-3.9985 -0.3953 -0.8882
-1.1743 1.2436 4.7331
Ca Zr S N
1 1 1 2
direct
0.0000 0.0000 0.0000
0.5000 0.5000 0.5000
0.0000 0.0000 0.5000
0.0000 0.5000 0.0000
0.5000 0.0000 0.0000
```

Summary:
Theoretical density (g cm⁻³): 3.729
Energy above the most stable polymorph in this dataset (eV/atom): 1.452
ΔE_f (raw) (meV per atom): 821
Final energy (eV per cell): -27.22
Calculated volume (Å³ per cell): 85.2

***

[4]
Entry from the Alexandria database: an optimized crystal structure of Ca2ZrSN (PBE).

Cell and atoms, written as POSCAR:
```
Ca2ZrSN
1.0
-0.4312 -3.4713 -4.8040
4.1461 -2.1384 1.1730
-2.9822 -4.0355 3.1837
Ca N Zr S
2 1 1 1
direct
0.5000 0.0000 0.0000
0.0000 0.0000 0.5000
0.5000 0.5000 0.5000
0.0000 0.0000 0.0000
0.0000 0.5000 0.0000
```

Summary:
Theoretical density (g cm⁻³): 2.126
ΔE_f (raw) (meV per atom): 959
Final energy (eV per cell): -20.21
Calculated volume (Å³ per cell): 169.9

***

[5]
Entry from the Alexandria database: an optimized crystal structure of Ca8Sb2N (PBE).

Cell and atoms, written as POSCAR:
```
Ca8Sb2N
1.0
5.3245 0.0000 0.0000
0.0000 6.6395 -0.2271
-2.6623 -3.1523 9.1590
Sb Ca N
2 8 1
direct
0.8269 0.2894 0.6538
0.1731 0.7106 0.3462
0.3817 0.0672 0.7634
0.0141 0.7796 0.0281
0.2200 0.2763 0.4399
0.9859 0.2204 0.9719
0.5846 0.3658 0.1693
0.6183 0.9328 0.2366
0.7800 0.7237 0.5601
0.4154 0.6342 0.8307
0.5000 0.0000 0.0000
```

Summary:
Theoretical density (g cm⁻³): 3.000
ΔE_f (raw) (meV per atom): -405
Final energy (eV per cell): -37.04
Calculated volume (Å³ per cell): 320.0

***

[6]
Entry from the Alexandria database: an optimized crystal structure of Ca7Sb3N2 (PBE).

Cell and atoms, written as POSCAR:
```
Ca7Sb3N2
1.0
-1.4498 -4.5550 -0.7105
4.1533 -1.6137 1.8710
-6.6944 2.9527 11.1656
Ca Sb N
7 3 2
direct
0.5958 0.0958 0.1915
0.1933 0.1933 0.3867
0.9042 0.4042 0.8085
0.4042 0.9042 0.8085
0.0000 0.0000 0.0000
0.8067 0.8067 0.6133
0.0958 0.5958 0.1915
0.3182 0.3182 0.6364
0.6818 0.6818 0.3636
0.5000 0.5000 0.0000
0.0953 0.0953 0.1905
0.9047 0.9047 0.8095
```

Summary:
Theoretical density (g cm⁻³): 3.713
Energy above the most stable polymorph in this dataset (eV/atom): 0.000
ΔE_f (raw) (meV per atom): -1045
Final energy (eV per cell): -55.57
Calculated volume (Å³ per cell): 301.4

***

[7]
Entry from the Alexandria database: an optimized crystal structure of CaSbN2 (PBE).

Cell and atoms, written as POSCAR:
```
CaSbN2
1.0
2.7611 -0.5365 6.5328
5.3459 -1.2083 4.5333
4.4949 1.9575 5.1529
Sb N Ca
1 2 1
direct
0.5000 0.5000 0.5000
0.1142 0.1142 0.1142
0.8858 0.8858 0.8858
0.0000 0.0000 0.0000
```

Summary:
Theoretical density (g cm⁻³): 4.777
ΔE_f (raw) (meV per atom): 317
Final energy (eV per cell): -21.51
Calculated volume (Å³ per cell): 66.0

***

[8]
Entry from the Alexandria database: an optimized crystal structure of Ca5Sb2N2 (PBE).

Cell and atoms, written as POSCAR:
```
Ca5Sb2N2
1.0
5.1119 0.0000 0.0000
-2.5559 6.3112 0.0619
0.0000 -0.8857 7.0914
N Ca Sb
2 5 2
direct
0.1653 0.3307 0.8922
0.8347 0.6693 0.1078
0.8504 0.7008 0.4149
0.0000 0.0000 0.0000
0.3201 0.6401 0.0833
0.1496 0.2992 0.5851
0.6799 0.3599 0.9167
0.4241 0.8482 0.6534
0.5759 0.1518 0.3466
```

Summary:
Theoretical density (g cm⁻³): 3.421
ΔE_f (raw) (meV per atom): -821
Final energy (eV per cell): -42.29
Calculated volume (Å³ per cell): 229.1

***

[9]
Entry from the Alexandria database: an optimized crystal structure of Ca5Sb2N (PBE).

Cell and atoms, written as POSCAR:
```
Ca5Sb2N
1.0
-3.4732 -2.7432 -3.7432
1.8221 -4.4751 6.0771
-10.8263 4.6278 6.6538
N Ca Sb
2 10 4
direct
0.1805 0.3610 0.2500
0.8195 0.6390 0.7500
0.2919 0.5837 0.3876
0.2959 0.5918 0.7500
0.7041 0.4082 0.2500
0.9401 0.8802 0.8710
0.0599 0.1198 0.3710
0.9401 0.8802 0.6290
0.7081 0.4163 0.8876
0.0599 0.1198 0.1290
0.7081 0.4163 0.6124
0.2919 0.5837 0.1124
0.8496 0.6992 0.4237
0.1504 0.3008 0.5763
0.1504 0.3008 0.9237
0.8496 0.6992 0.0763
```

Summary:
Theoretical density (g cm⁻³): 2.693
ΔE_f (raw) (meV per atom): -698
Final energy (eV per cell): -64.33
Calculated volume (Å³ per cell): 564.6

***

[10]
Entry from the Alexandria database: an optimized crystal structure of Ca4SbN (PBE).

Cell and atoms, written as POSCAR:
```
Ca4SbN
1.0
-5.2886 2.0742 1.1688
-1.5399 -5.7847 3.2985
6.4165 5.1415 4.9313
Ca Sb N
8 2 2
direct
0.4223 0.6190 0.7621
0.0000 0.7275 0.0000
0.8124 0.3077 0.6154
0.5777 0.8569 0.2379
0.1876 0.6923 0.3846
0.4223 0.1431 0.7621
0.0000 0.2725 0.0000
0.5777 0.3810 0.2379
0.1874 0.1906 0.3812
0.8126 0.8094 0.6188
0.2866 0.5802 0.1603
0.7134 0.4198 0.8397
```

Summary:
Theoretical density (g cm⁻³): 2.941
ΔE_f (raw) (meV per atom): -689
Final energy (eV per cell): -49.18
Calculated volume (Å³ per cell): 334.3

***

[11]
Entry from the Alexandria database: an optimized crystal structure of Ca7SbN2 (PBE).

Cell and atoms, written as POSCAR:
```
Ca7SbN2
1.0
-4.6301 0.3106 -0.2506
-0.4143 0.2067 7.9110
0.6202 7.6482 -1.9793
Ca Sb N
7 1 2
direct
0.5000 0.0233 0.3051
0.5000 0.9767 0.6949
0.5000 0.6949 0.9767
0.5000 0.5000 0.5000
0.0000 0.7014 0.2986
0.0000 0.2986 0.7014
0.5000 0.3051 0.0233
0.0000 0.0000 0.0000
0.5000 0.7207 0.2793
0.5000 0.2793 0.7207
```

Summary:
Theoretical density (g cm⁻³): 2.515
ΔE_f (raw) (meV per atom): -453
Final energy (eV per cell): -39.31
Calculated volume (Å³ per cell): 284.1

***

[12]
Entry from the Alexandria database: an optimized crystal structure of Ca4Sb2N (PBE).

Cell and atoms, written as POSCAR:
```
Ca4Sb2N
1.0
-3.1214 -1.4443 -3.2433
3.4729 -2.7547 -2.1156
-3.6794 -4.5281 5.5576
Sb Ca N
2 4 1
direct
0.5000 0.3497 0.6993
0.5000 0.6503 0.3007
0.0000 0.8414 0.6829
0.5000 0.0000 0.0000
0.0000 0.1586 0.3171
0.0000 0.5000 0.0000
0.0000 0.0000 0.0000
```

Summary:
Theoretical density (g cm⁻³): 3.894
Energy above the most stable polymorph in this dataset (eV/atom): 0.048
ΔE_f (raw) (meV per atom): -948
Final energy (eV per cell): -31.21
Calculated volume (Å³ per cell): 178.2

***

[13]
Entry from the Alexandria database: an optimized crystal structure of Ca4Sb2N (PBE).

Cell and atoms, written as POSCAR:
```
Ca4Sb2N
1.0
4.8041 0.0000 0.0000
0.0000 4.8041 0.0000
2.4021 2.4021 8.0339
Ca N Sb
4 1 2
direct
0.5000 0.0000 0.0000
0.0000 0.5000 0.0000
0.8424 0.8424 0.3153
0.1576 0.1576 0.6847
0.0000 0.0000 0.0000
0.3588 0.3588 0.2823
0.6412 0.6412 0.7177
```

Summary:
Theoretical density (g cm⁻³): 3.742
Energy above the most stable polymorph in this dataset (eV/atom): 0.000
ΔE_f (raw) (meV per atom): -996
Final energy (eV per cell): -31.55
Calculated volume (Å³ per cell): 185.4

***

[14]
Entry from the Alexandria database: an optimized crystal structure of CaSbN2 (PBE).

Cell and atoms, written as POSCAR:
```
CaSbN2
1.0
7.4246 1.4975 0.5233
1.9978 4.0660 0.9349
1.0979 0.6119 6.4476
N Sb Ca
4 2 2
direct
0.7898 0.8772 0.9165
0.7902 0.1267 0.9165
0.2102 0.1228 0.0835
0.2098 0.8733 0.0835
0.0000 0.5000 0.5000
0.5000 0.0000 0.5000
0.7605 0.3767 0.2260
0.2395 0.6233 0.7740
```

Summary:
Theoretical density (g cm⁻³): 3.688
ΔE_f (raw) (meV per atom): -238
Final energy (eV per cell): -47.45
Calculated volume (Å³ per cell): 171.0

***

[15]
Entry from the Alexandria database: an optimized crystal structure of Ca4Sb2N (PBE).

Cell and atoms, written as POSCAR:
```
Ca4Sb2N
1.0
-4.8010 -2.8962 3.9847
0.0172 -5.4610 -3.9485
8.9868 -1.9312 2.7100
N Ca Sb
2 8 4
direct
0.7832 0.2500 0.8082
0.2168 0.7500 0.1918
0.9148 0.2500 0.0606
0.9691 0.2500 0.6658
0.5390 0.0137 0.7208
0.4610 0.9863 0.2792
0.4610 0.5137 0.2792
0.0852 0.7500 0.9394
0.5390 0.4863 0.7208
0.0309 0.7500 0.3342
0.4061 0.2500 0.9841
0.8050 0.7500 0.5738
0.1950 0.2500 0.4262
0.5939 0.7500 0.0159
```

Summary:
Theoretical density (g cm⁻³): 3.418
Energy above the most stable polymorph in this dataset (eV/atom): 0.131
ΔE_f (raw) (meV per atom): -865
Final energy (eV per cell): -61.26
Calculated volume (Å³ per cell): 406.0

***

[16]
Entry from the Alexandria database: an optimized crystal structure of CaSbN3 (PBE).

Cell and atoms, written as POSCAR:
```
CaSbN3
1.0
-1.4392 3.9480 1.2075
-4.1285 -1.3773 -0.4177
0.0032 -1.2777 4.1813
N Ca Sb
3 1 1
direct
0.5000 0.0000 0.0000
0.0000 0.5000 0.0000
0.0000 0.0000 0.5000
0.0000 0.0000 0.0000
0.5000 0.5000 0.5000
```

Summary:
Theoretical density (g cm⁻³): 4.050
ΔE_f (raw) (meV per atom): 1837
Final energy (eV per cell): -21.91
Calculated volume (Å³ per cell): 83.6

***

[17]
Entry from the Alexandria database: an optimized crystal structure of Ca9Sb3N2 (PBE).

Cell and atoms, written as POSCAR:
```
Ca9Sb3N2
1.0
-4.3953 1.2706 5.2425
3.2748 -6.1273 -0.3872
6.4275 3.1429 4.6271
Sb Ca N
3 9 2
direct
0.6667 0.3333 0.6646
0.3333 0.6667 0.3354
0.0000 0.0000 0.0000
0.8275 0.6549 0.3249
0.3451 0.1725 0.3249
0.0000 0.5000 0.0000
0.8275 0.1725 0.3249
0.1725 0.8275 0.6751
0.5000 0.5000 0.0000
0.5000 0.0000 0.0000
0.1725 0.3451 0.6751
0.6549 0.8275 0.6751
0.6667 0.3333 0.1677
0.3333 0.6667 0.8323
```

Summary:
Theoretical density (g cm⁻³): 3.504
ΔE_f (raw) (meV per atom): -951
Final energy (eV per cell): -60.34
Calculated volume (Å³ per cell): 357.3

***

[18]
Entry from the Alexandria database: an optimized crystal structure of CaSbN3 (PBE).

Cell and atoms, written as POSCAR:
```
CaSbN3
1.0
-2.0603 3.0254 -1.7717
-2.2692 0.4158 3.3489
2.6726 2.6853 1.4776
N Ca Sb
3 1 1
direct
0.5000 0.0000 0.0000
0.0000 0.0000 0.5000
0.0000 0.5000 0.0000
0.5000 0.5000 0.5000
0.0000 0.0000 0.0000
```

Summary:
Theoretical density (g cm⁻³): 5.034
ΔE_f (raw) (meV per atom): 528
Final energy (eV per cell): -28.46
Calculated volume (Å³ per cell): 67.2

***

[19]
Entry from the Alexandria database: an optimized crystal structure of Ca7Sb3N2 (PBE).

Cell and atoms, written as POSCAR:
```
Ca7Sb3N2
1.0
-2.9458 -2.8690 -2.4504
-1.8106 -1.7298 4.2019
-7.8408 9.8905 -2.1542
N Ca Sb
2 7 3
direct
0.0000 0.9020 0.8040
0.0000 0.0980 0.1960
0.0000 0.0000 0.0000
0.0000 0.8061 0.6121
0.0000 0.4023 0.8046
0.0000 0.5977 0.1954
0.5000 0.9030 0.8059
0.5000 0.0970 0.1941
0.0000 0.1939 0.3879
0.5000 0.3114 0.6228
0.5000 0.6886 0.3772
0.5000 0.5000 0.0000
```

Summary:
Theoretical density (g cm⁻³): 3.802
Energy above the most stable polymorph in this dataset (eV/atom): 0.039
ΔE_f (raw) (meV per atom): -1006
Final energy (eV per cell): -55.10
Calculated volume (Å³ per cell): 294.3

***

[20]
Entry from the Alexandria database: an optimized crystal structure of CaSbN2 (PBE).

Cell and atoms, written as POSCAR:
```
CaSbN2
1.0
2.1627 0.0000 6.2649
-1.0813 1.8729 6.2649
-1.0813 -1.8729 6.2649
N Sb Ca
2 1 1
direct
0.8969 0.8969 0.8969
0.1031 0.1031 0.1031
0.0000 0.0000 0.0000
0.5000 0.5000 0.5000
```

Summary:
Theoretical density (g cm⁻³): 4.141
ΔE_f (raw) (meV per atom): 223
Final energy (eV per cell): -21.88
Calculated volume (Å³ per cell): 76.1

***

[21]
Entry from the Alexandria database: an optimized crystal structure of CaSb2N (PBE).

Cell and atoms, written as POSCAR:
```
CaSb2N
1.0
7.0450 0.0000 0.0000
0.0000 7.0450 0.0000
3.5225 3.5225 3.9377
Sb N Ca
4 2 2
direct
0.8750 0.7648 0.7500
0.2352 0.6250 0.2500
0.3750 0.4852 0.7500
0.5148 0.1250 0.2500
0.5000 0.5000 0.0000
0.2500 0.7500 0.5000
0.0000 0.0000 0.0000
0.7500 0.2500 0.5000
```

Summary:
Theoretical density (g cm⁻³): 5.057
ΔE_f (raw) (meV per atom): 126
Final energy (eV per cell): -36.14
Calculated volume (Å³ per cell): 195.4

***

[22]
Entry from the Alexandria database: an optimized crystal structure of Ca2ScSbN (PBE).

Cell and atoms, written as POSCAR:
```
Ca2ScSbN
1.0
-4.2096 -0.7872 2.3945
0.3136 -4.7884 -1.0229
2.2575 -0.6540 3.7537
N Sc Sb Ca
1 1 1 2
direct
0.0000 0.0000 0.0000
0.0000 0.0000 0.5000
0.5000 0.5000 0.5000
0.5000 0.0000 0.0000
0.0000 0.5000 0.0000
```

Summary:
Theoretical density (g cm⁻³): 4.063
ΔE_f (raw) (meV per atom): -1046
Final energy (eV per cell): -28.01
Calculated volume (Å³ per cell): 106.6

***

[23]
Entry from the Alexandria database: an optimized crystal structure of CaSc2SbN (PBE).

Cell and atoms, written as POSCAR:
```
CaSc2SbN
1.0
-2.3911 2.6879 2.6536
-3.1684 -3.1370 0.3226
2.2333 -1.8554 3.8917
N Sc Ca Sb
1 2 1 1
direct
0.0000 0.0000 0.0000
0.0000 0.5000 0.0000
0.5000 0.0000 0.0000
0.0000 0.0000 0.5000
0.5000 0.5000 0.5000
```

Summary:
Theoretical density (g cm⁻³): 4.548
ΔE_f (raw) (meV per atom): -1053
Final energy (eV per cell): -32.38
Calculated volume (Å³ per cell): 97.0

***

[24]
Entry from the Alexandria database: an optimized crystal structure of CaSbSeN2 (PBE).

Cell and atoms, written as POSCAR:
```
CaSbSeN2
1.0
4.3197 0.0000 0.0000
0.0000 4.3197 0.0000
0.0000 0.0000 5.6382
Ca N Sb Se
1 2 1 1
direct
0.0000 0.0000 0.0000
0.0000 0.5000 0.0000
0.5000 0.0000 0.0000
0.5000 0.5000 0.5000
0.0000 0.0000 0.5000
```

Summary:
Theoretical density (g cm⁻³): 4.243
Energy above the most stable polymorph in this dataset (eV/atom): 1.021
ΔE_f (raw) (meV per atom): 1317
Final energy (eV per cell): -19.68
Calculated volume (Å³ per cell): 105.2

***

[25]
Entry from the Alexandria database: an optimized crystal structure of CaSbSeN2 (PBE).

Cell and atoms, written as POSCAR:
```
CaSbSeN2
1.0
4.1069 0.0000 0.0000
0.0000 4.1069 0.0000
0.0000 0.0000 5.5989
Se N Ca Sb
1 2 1 1
direct
0.0000 0.0000 0.5000
0.0000 0.5000 0.0000
0.5000 0.0000 0.0000
0.5000 0.5000 0.5000
0.0000 0.0000 0.0000
```

Summary:
Theoretical density (g cm⁻³): 4.727
Energy above the most stable polymorph in this dataset (eV/atom): 0.000
ΔE_f (raw) (meV per atom): 295
Final energy (eV per cell): -24.78
Calculated volume (Å³ per cell): 94.4